A relaxed structure of HfZrNi, computed with PBE.

Structure (POSCAR):
```
HfZrNi
1.0
9.470 0.000 0.000
0.000 8.858 0.000
0.000 0.000 5.221
Ni Hf Zr
8 8 8
direct
0.250 0.250 0.250
0.250 0.750 0.750
0.750 0.250 0.750
0.750 0.750 0.250
0.750 0.750 0.750
0.750 0.250 0.250
0.250 0.750 0.250
0.250 0.250 0.750
0.661 0.000 0.000
0.339 0.000 0.000
0.661 0.500 0.500
0.339 0.500 0.500
0.161 0.000 0.500
0.839 0.000 0.500
0.161 0.500 0.000
0.839 0.500 0.000
0.000 0.165 0.000
0.000 0.835 0.000
0.000 0.665 0.500
0.000 0.335 0.500
0.500 0.165 0.500
0.500 0.835 0.500
0.500 0.665 0.000
0.500 0.335 0.000
```

Summary:
Its space-group type is Fmmm. The calculation puts the relative energy among the computed polymorphs at 0.000 eV per atom.


A relaxed structure of Hf2ZrNi2, computed with PBE.

Structure (POSCAR):
```
Hf2ZrNi2
1.0
-7.002 0.330 2.155
1.257 -5.310 4.899
0.795 2.253 2.237
Ni Hf Zr
4 4 2
direct
0.376 0.876 0.000
0.876 0.624 0.000
0.624 0.124 0.000
0.124 0.376 0.000
0.165 0.665 0.500
0.665 0.835 0.500
0.835 0.335 0.500
0.335 0.165 0.500
0.000 0.000 0.000
0.500 0.500 0.000
```

Summary:
Its space-group type is P4/mbm. The calculation puts the relative energy among the computed polymorphs at 0.000 eV per atom.


A relaxed structure of HfZr2Ni2, computed with PBE.

Structure (POSCAR):
```
HfZr2Ni2
1.0
-2.339 -2.476 -0.135
-0.665 -2.001 5.197
-4.611 1.867 2.590
Hf Zr Ni
1 2 2
direct
0.000 0.000 0.000
0.800 0.700 0.700
0.200 0.300 0.300
0.500 0.302 0.698
0.500 0.698 0.302
```

Summary:
Its space-group type is Immm. The calculation puts the relative energy among the computed polymorphs at 0.025 eV per atom.


A relaxed structure of Hf2ZrNi2, computed with PBE.

Structure (POSCAR):
```
Hf2ZrNi2
1.0
5.008 0.000 0.000
0.000 5.289 0.000
0.000 -2.645 6.939
Hf Zr Ni
4 2 4
direct
0.750 0.416 0.831
0.750 0.790 0.579
0.250 0.584 0.169
0.250 0.210 0.421
0.000 0.000 0.000
0.500 0.000 0.000
0.750 0.395 0.274
0.250 0.121 0.726
0.250 0.605 0.726
0.750 0.879 0.274
```

Summary:
Its space-group type is Cmcm. The calculation puts the relative energy among the computed polymorphs at 0.375 eV per atom.


A relaxed structure of HfZrNi4, computed with PBE.

Structure (POSCAR):
```
HfZrNi4
1.0
-0.417 -3.015 -2.883
1.772 -1.907 4.169
-8.547 -2.477 2.619
Hf Zr Ni
2 2 8
direct
0.250 0.000 0.250
0.750 0.000 0.750
0.500 0.500 0.000
0.000 0.500 0.500
0.973 0.419 0.212
0.527 0.581 0.288
0.027 0.581 0.788
0.473 0.419 0.712
0.274 0.075 0.541
0.226 0.925 0.959
0.726 0.925 0.459
0.774 0.075 0.041
```

Summary:
Its space-group type is C2/m. The calculation puts the relative energy among the computed polymorphs at 0.121 eV per atom.


A relaxed structure of Hf2ZrNi2, computed with PBE.

Structure (POSCAR):
```
Hf2ZrNi2
1.0
-5.229 1.763 5.239
2.870 -5.299 4.647
1.873 2.049 1.180
Ni Hf Zr
4 4 2
direct
0.140 0.640 0.500
0.640 0.860 0.500
0.860 0.360 0.500
0.360 0.140 0.500
0.347 0.847 0.000
0.847 0.653 0.000
0.653 0.153 0.000
0.153 0.347 0.000
0.000 0.000 0.000
0.500 0.500 0.000
```

Summary:
Its space-group type is P4/mbm. The calculation puts the relative energy among the computed polymorphs at 0.177 eV per atom.


A relaxed structure of HfZrNi, computed with PBE.

Structure (POSCAR):
```
HfZrNi
1.0
3.865 0.000 0.000
0.000 5.187 -0.045
-1.932 -0.535 5.737
Hf Zr Ni
2 2 2
direct
0.851 0.676 0.703
0.149 0.324 0.297
0.577 0.772 0.154
0.423 0.228 0.846
0.235 0.846 0.470
0.765 0.154 0.530
```

Summary:
Its space-group type is C2/m. The calculation puts the relative energy among the computed polymorphs at 0.093 eV per atom.


A relaxed structure of HfZr2Ni6, computed with PBE.

Structure (POSCAR):
```
HfZr2Ni6
1.0
5.506 0.000 0.000
0.000 4.553 -2.629
0.000 0.000 5.257
Hf Zr Ni
1 2 6
direct
0.500 0.000 0.000
0.335 0.667 0.333
0.665 0.333 0.667
0.836 0.820 0.640
0.836 0.820 0.180
0.164 0.640 0.820
0.836 0.360 0.180
0.164 0.180 0.820
0.164 0.180 0.360
```

Summary:
Its space-group type is P-3m1.


| no. | final energy (eV per atom) |
| --- | --- |
| 1 | -8.428 |
| 2 | -8.365 |
| 3 | -8.031 |
| 4 | -7.990 |
| 5 | -7.261 |
| 6 | -8.188 |
| 7 | -8.336 |
| 8 | -7.185 |